No. 1
VASP calculation (PBE) on crystalline KLa4Mo at its relaxed geometry.

Cell lengths 6.707, 6.707, 6.707 Å; angles 60.00, 60.00, 60.00 degrees
Fractional positions:
La1 0.856 0.381 0.381
La2 0.381 0.381 0.856
La3 0.381 0.381 0.381
La4 0.381 0.856 0.381
K1 0.000 0.000 0.000
Mo1 0.750 0.750 0.750

Computed properties:
- ΔH_f (0 K): 0.952 eV per atom
- Crystal system: cubic

No. 2
VASP calculation (PBE) on crystalline YRe2GeRh at its relaxed geometry.

Cell lengths 4.632, 4.632, 4.585 Å; angles 90.00, 90.00, 90.00 degrees
Fractional positions:
Ge1 0.000 0.000 0.000
Re1 0.000 0.500 0.000
Re2 0.500 0.000 0.000
Rh1 0.000 0.000 0.500
Y1 0.500 0.500 0.500

Computed properties:
- ΔH_f (0 K): 0.666 eV per atom
- Crystal system: tetragonal

No. 3
VASP calculation (PBE) on crystalline FePt2Se at its relaxed geometry.

Cell lengths 4.044, 3.955, 3.955 Å; angles 90.00, 90.00, 90.00 degrees
Fractional positions:
Fe1 0.500 0.000 0.500
Se1 0.500 0.500 0.000
Pt1 0.000 0.000 0.000
Pt2 0.000 0.500 0.500

Computed properties:
- ΔE_f (raw): 193 meV per atom
- Crystal system: tetragonal

> Which formula does entry 3 have?

FePt2Se